[1]
Compound: NaLa2CuF
Source: Alexandria via LeMat-Bulk
Functional: PBE
Structure: optimized geometry

Cell: 5.190 5.190 4.354 Å, 90.00 90.00 90.00°
Positions (direct):
Na (0.000, 0.000, 0.000)
La (0.000, 0.500, 0.500)
La (0.500, 0.000, 0.500)
Cu (0.500, 0.500, 0.000)
F (0.000, 0.000, 0.500)


[2]
Compound: NaLaCu2F8
Source: Alexandria via LeMat-Bulk
Functional: PBE
Structure: optimized geometry

Cell: 6.662 6.662 6.662 Å, 130.11 130.11 73.23°
Positions (direct):
Na (0.000, 0.000, 0.000)
La (0.750, 0.250, 0.500)
Cu (0.250, 0.750, 0.500)
Cu (0.500, 0.500, 0.000)
F (0.013, 0.658, 0.064)
F (0.051, 0.987, 0.645)
F (0.150, 0.303, 0.570)
F (0.342, 0.406, 0.355)
F (0.420, 0.850, 0.153)
F (0.594, 0.949, 0.936)
F (0.697, 0.266, 0.847)
F (0.734, 0.580, 0.430)


[3]
Compound: Na2LaCuF8
Source: Alexandria via LeMat-Bulk
Functional: PBE
Structure: optimized geometry

Cell: 3.959 5.403 8.370 Å, 84.99 89.65 85.61°
Positions (direct):
Na (0.009, 0.020, 0.230)
Na (0.991, 0.980, 0.770)
La (0.500, 0.500, 0.500)
Cu (0.500, 0.500, 0.000)
F (0.008, 0.280, 0.432)
F (0.149, 0.726, 0.024)
F (0.436, 0.345, 0.194)
F (0.469, 0.177, 0.697)
F (0.531, 0.823, 0.303)
F (0.564, 0.655, 0.806)
F (0.851, 0.274, 0.976)
F (0.992, 0.720, 0.568)


[4]
Compound: LaCuOF2
Source: Alexandria via LeMat-Bulk
Functional: PBE
Structure: optimized geometry

Cell: 4.078 4.078 4.009 Å, 90.00 90.00 90.00°
Positions (direct):
La (0.000, 0.000, 0.000)
Cu (0.500, 0.500, 0.500)
O (0.500, 0.500, 0.000)
F (0.000, 0.500, 0.500)
F (0.500, 0.000, 0.500)


[5]
Compound: LaCuO2F
Source: Alexandria via LeMat-Bulk
Functional: PBE
Structure: optimized geometry

Cell: 4.529 4.529 4.645 Å, 90.00 90.00 90.00°
Positions (direct):
La (0.000, 0.000, 0.000)
Cu (0.500, 0.500, 0.500)
O (0.000, 0.500, 0.000)
O (0.500, 0.000, 0.000)
F (0.000, 0.000, 0.500)


[6]
Compound: LaCuOF2
Source: Alexandria via LeMat-Bulk
Functional: PBE
Structure: optimized geometry

Cell: 4.671 4.671 4.605 Å, 90.00 90.00 90.00°
Positions (direct):
La (0.000, 0.000, 0.000)
Cu (0.500, 0.500, 0.500)
O (0.000, 0.000, 0.500)
F (0.000, 0.500, 0.000)
F (0.500, 0.000, 0.000)


[7]
Compound: LaCuO2F
Source: Alexandria via LeMat-Bulk
Functional: PBE
Structure: optimized geometry

Cell: 5.619 5.619 5.619 Å, 120.06 120.06 89.90°
Positions (direct):
La (0.250, 0.750, 0.500)
La (0.750, 0.250, 0.500)
Cu (0.000, 0.000, 0.000)
Cu (0.500, 0.500, 0.000)
O (0.189, 0.689, 0.877)
O (0.311, 0.189, 0.500)
O (0.689, 0.811, 0.500)
O (0.811, 0.311, 0.123)
F (0.250, 0.250, 0.000)
F (0.750, 0.750, 0.000)


[8]
Compound: LaCuPF
Source: Alexandria via LeMat-Bulk
Functional: PBE
Structure: optimized geometry

Cell: 3.933 3.933 8.577 Å, 90.00 90.00 90.00°
Positions (direct):
La (0.250, 0.250, 0.194)
La (0.750, 0.750, 0.806)
Cu (0.250, 0.750, 0.500)
Cu (0.750, 0.250, 0.500)
P (0.250, 0.250, 0.664)
P (0.750, 0.750, 0.336)
F (0.250, 0.750, 0.000)
F (0.750, 0.250, 0.000)


[9]
Compound: Rb2LaCu3F12
Source: Alexandria via LeMat-Bulk
Functional: PBE
Structure: optimized geometry

Cell: 7.043 7.043 7.043 Å, 65.91 65.91 65.91°
Positions (direct):
Rb (0.109, 0.109, 0.109)
Rb (0.891, 0.891, 0.891)
La (0.500, 0.500, 0.500)
Cu (0.000, 0.500, 0.500)
Cu (0.500, 0.000, 0.500)
Cu (0.500, 0.500, 0.000)
F (0.101, 0.626, 0.626)
F (0.231, 0.231, 0.599)
F (0.231, 0.599, 0.231)
F (0.374, 0.374, 0.899)
F (0.374, 0.899, 0.374)
F (0.401, 0.769, 0.769)
F (0.599, 0.231, 0.231)
F (0.626, 0.101, 0.626)
F (0.626, 0.626, 0.101)
F (0.769, 0.401, 0.769)
F (0.769, 0.769, 0.401)
F (0.899, 0.374, 0.374)


[10]
Compound: Rb2LaCuF6
Source: Alexandria via LeMat-Bulk
Functional: PBE
Structure: optimized geometry

Cell: 6.631 6.631 6.631 Å, 123.10 123.10 84.71°
Positions (direct):
Rb (0.250, 0.750, 0.500)
Rb (0.750, 0.250, 0.500)
La (0.000, 0.000, 0.000)
Cu (0.500, 0.500, 0.000)
F (0.235, 0.235, 0.000)
F (0.259, 0.259, 0.518)
F (0.259, 0.741, 0.000)
F (0.741, 0.259, 0.000)
F (0.741, 0.741, 0.482)
F (0.765, 0.765, 0.000)


[11]
Compound: RbLaCu2F8
Source: Alexandria via LeMat-Bulk
Functional: PBE
Structure: optimized geometry

Cell: 6.841 6.841 6.841 Å, 128.69 128.69 75.50°
Positions (direct):
Rb (0.000, 0.000, 0.000)
La (0.750, 0.250, 0.500)
Cu (0.250, 0.750, 0.500)
Cu (0.500, 0.500, 0.000)
F (0.019, 0.614, 0.063)
F (0.043, 0.981, 0.595)
F (0.149, 0.364, 0.624)
F (0.386, 0.448, 0.405)
F (0.476, 0.851, 0.215)
F (0.552, 0.957, 0.937)
F (0.636, 0.260, 0.785)
F (0.740, 0.524, 0.376)


[12]
Compound: LaCuSn2F
Source: Alexandria via LeMat-Bulk
Functional: PBE
Structure: optimized geometry

Cell: 4.971 4.971 4.785 Å, 90.00 90.00 90.00°
Positions (direct):
La (0.000, 0.000, 0.000)
Cu (0.500, 0.500, 0.500)
Sn (0.000, 0.500, 0.500)
Sn (0.500, 0.000, 0.500)
F (0.500, 0.500, 0.000)


[13]
Compound: La2TiCuF
Source: Alexandria via LeMat-Bulk
Functional: PBE
Structure: optimized geometry

Cell: 5.217 5.217 4.077 Å, 90.00 90.00 90.00°
Positions (direct):
La (0.000, 0.500, 0.000)
La (0.500, 0.000, 0.000)
Ti (0.000, 0.000, 0.500)
Cu (0.500, 0.500, 0.500)
F (0.000, 0.000, 0.000)


[14]
Compound: LaTl2Cu3F12
Source: Alexandria via LeMat-Bulk
Functional: PBE
Structure: optimized geometry

Cell: 6.934 6.934 6.934 Å, 67.39 67.39 67.39°
Positions (direct):
La (0.000, 0.000, 0.000)
Tl (0.389, 0.389, 0.389)
Tl (0.611, 0.611, 0.611)
Cu (0.000, 0.000, 0.500)
Cu (0.000, 0.500, 0.000)
Cu (0.500, 0.000, 0.000)
F (0.097, 0.742, 0.742)
F (0.135, 0.135, 0.590)
F (0.135, 0.590, 0.135)
F (0.258, 0.258, 0.903)
F (0.258, 0.903, 0.258)
F (0.410, 0.865, 0.865)
F (0.590, 0.135, 0.135)
F (0.742, 0.097, 0.742)
F (0.742, 0.742, 0.097)
F (0.865, 0.410, 0.865)
F (0.865, 0.865, 0.410)
F (0.903, 0.258, 0.258)


[15]
Compound: LaYCu2F
Source: Alexandria via LeMat-Bulk
Functional: PBE
Structure: optimized geometry

Cell: 5.227 5.227 4.203 Å, 90.00 90.00 90.00°
Positions (direct):
La (0.000, 0.000, 0.000)
Y (0.500, 0.500, 0.000)
Cu (0.000, 0.500, 0.500)
Cu (0.500, 0.000, 0.500)
F (0.500, 0.500, 0.500)


[16]
Compound: Li2Cu2F7
Source: Alexandria via LeMat-Bulk
Functional: PBE
Structure: optimized geometry

Cell: 6.189 6.189 8.864 Å, 120.39 120.39 29.23°
Positions (direct):
Li (0.000, 0.000, 0.000)
Li (0.560, 0.560, 0.359)
Cu (0.208, 0.208, 0.704)
Cu (0.778, 0.778, 0.124)
F (0.176, 0.176, 0.473)
F (0.231, 0.231, 0.941)
F (0.323, 0.323, 0.278)
F (0.587, 0.587, 0.628)
F (0.600, 0.600, 0.063)
F (0.836, 0.836, 0.786)
F (0.954, 0.954, 0.178)


[17]
Compound: LiCuF3
Source: Alexandria via LeMat-Bulk
Functional: PBE
Structure: optimized geometry

Cell: 5.534 5.534 5.534 Å, 55.13 55.13 55.13°
Positions (direct):
Li (0.000, 0.000, 0.000)
Li (0.500, 0.500, 0.500)
Cu (0.298, 0.298, 0.298)
Cu (0.798, 0.798, 0.798)
F (0.077, 0.401, 0.694)
F (0.194, 0.901, 0.577)
F (0.401, 0.694, 0.077)
F (0.577, 0.194, 0.901)
F (0.694, 0.077, 0.401)
F (0.901, 0.577, 0.194)


[18]
Compound: Li2CuF5
Source: Alexandria via LeMat-Bulk
Functional: PBE
Structure: optimized geometry

Cell: 5.332 5.332 9.745 Å, 90.00 90.00 137.21°
Positions (direct):
Li (0.133, 0.867, 0.572)
Li (0.133, 0.867, 0.928)
Li (0.867, 0.133, 0.072)
Li (0.867, 0.133, 0.428)
Cu (0.192, 0.808, 0.250)
Cu (0.808, 0.192, 0.750)
F (0.059, 0.941, 0.113)
F (0.059, 0.941, 0.387)
F (0.285, 0.715, 0.750)
F (0.320, 0.680, 0.104)
F (0.320, 0.680, 0.396)
F (0.680, 0.320, 0.604)
F (0.680, 0.320, 0.896)
F (0.715, 0.285, 0.250)
F (0.941, 0.059, 0.613)
F (0.941, 0.059, 0.887)


[19]
Compound: LiCuF5
Source: Alexandria via LeMat-Bulk
Functional: PBE
Structure: optimized geometry

Cell: 5.056 5.056 7.734 Å, 111.86 111.86 74.74°
Positions (direct):
Li (0.065, 0.935, 0.750)
Li (0.935, 0.065, 0.250)
Cu (0.500, 0.500, 0.000)
Cu (0.500, 0.500, 0.500)
F (0.166, 0.740, 0.504)
F (0.193, 0.312, 0.873)
F (0.260, 0.834, 0.996)
F (0.312, 0.193, 0.373)
F (0.470, 0.530, 0.250)
F (0.530, 0.470, 0.750)
F (0.688, 0.807, 0.627)
F (0.740, 0.166, 0.004)
F (0.807, 0.688, 0.127)
F (0.834, 0.260, 0.496)


[20]
Compound: Li2Cu3F7
Source: Alexandria via LeMat-Bulk
Functional: PBE
Structure: optimized geometry

Cell: 10.178 11.386 3.046 Å, 90.00 90.00 90.00°
Positions (direct):
Li (0.242, 0.165, 0.000)
Li (0.258, 0.665, 0.000)
Li (0.742, 0.335, 0.000)
Li (0.758, 0.835, 0.000)
Cu (0.000, 0.000, 0.500)
Cu (0.033, 0.371, 0.500)
Cu (0.467, 0.871, 0.500)
Cu (0.500, 0.500, 0.500)
Cu (0.533, 0.129, 0.500)
Cu (0.967, 0.629, 0.500)
F (0.000, 0.500, 0.000)
F (0.117, 0.290, 0.000)
F (0.118, 0.034, 0.000)
F (0.160, 0.669, 0.500)
F (0.340, 0.169, 0.500)
F (0.382, 0.534, 0.000)
F (0.383, 0.790, 0.000)
F (0.500, 0.000, 0.000)
F (0.617, 0.210, 0.000)
F (0.618, 0.466, 0.000)
F (0.660, 0.831, 0.500)
F (0.840, 0.331, 0.500)
F (0.882, 0.966, 0.000)
F (0.883, 0.710, 0.000)


ΔE_f (raw): -0.87; -2.56; -2.76; -2.19; -1.49; -2.16; -2.25; -2.02; -2.40; -2.87; -2.57; -0.58; -0.71; -2.17; -0.61; -1.98; -2.08; -2.16; -1.62; -1.88 (eV/atom)